Ho7Er2Sc2: relaxed, PBE.

a = 3.508 Å, b = 16.879 Å, c = 11.346 Å
α = 90.00°, β = 90.00°, γ = 90.00°
Space group Imm2 (No. 44)
Asymmetric unit:
Ho: 0.000 0.000 0.000 [2 per cell]
Ho: 0.000 0.201 0.732 [4 per cell]
Ho: 0.000 0.333 0.968 [4 per cell]
Ho: 0.000 0.334 0.495 [4 per cell]
Er: 0.000 0.000 0.475 [2 per cell]
Er: 0.000 0.500 0.239 [2 per cell]
Sc: 0.000 0.118 0.234 [4 per cell]

- Energy above the lowest structure with this stoichiometry: 0.0 meV/atom
- Calculated density: 7.80 g cm⁻³
- M_tot: 0.000 μB per atom
- E_form: 143 meV/atom

Mo2AsRh: relaxed, PBE.

a = 3.792 Å, b = 3.792 Å, c = 8.400 Å
α = 90.00°, β = 90.00°, γ = 90.00°
Space group I4/mmm (No. 139)
Asymmetric unit:
Mo: 0.000 0.500 0.250 [4 per cell]
As: 0.000 0.000 0.000 [2 per cell]
Rh: 0.000 0.000 0.500 [2 per cell]

- Calculated density: 10.17 g cm⁻³
- M_tot: 0.000 μB per atom
- E_form: 3 meV/atom

Na5Ce3Ti6Nb2O24: relaxed, PBE.

a = 5.448 Å, b = 5.549 Å, c = 15.579 Å
α = 89.94°, β = 89.99°, γ = 89.76°
Space group P1 (No. 1)
Asymmetric unit:
Na: 0.000 0.000 0.000 [1 per cell]
Na: 0.001 0.017 0.501 [1 per cell]
Na: 0.496 0.569 0.249 [1 per cell]
Na: 0.497 0.564 0.752 [1 per cell]
Na: 0.505 0.512 0.502 [1 per cell]
Ce: 0.010 0.084 0.247 [1 per cell]
Ce: 0.011 0.084 0.753 [1 per cell]
Ce: 0.513 0.478 0.000 [1 per cell]
Ti: 0.008 0.540 0.125 [1 per cell]
Ti: 0.009 0.540 0.875 [1 per cell]
Ti: 0.505 0.045 0.372 [1 per cell]
Ti: 0.508 0.024 0.123 [1 per cell]
Ti: 0.509 0.024 0.877 [1 per cell]
Ti: 0.999 0.541 0.627 [1 per cell]
Nb: 0.505 0.034 0.620 [1 per cell]
Nb: 0.996 0.546 0.381 [1 per cell]
O: 0.075 0.541 0.502 [1 per cell]
O: 0.084 0.550 0.000 [1 per cell]
O: 0.203 0.828 0.855 [1 per cell]
O: 0.204 0.826 0.647 [1 per cell]
O: 0.204 0.827 0.145 [1 per cell]
O: 0.208 0.827 0.353 [1 per cell]
O: 0.283 0.312 0.651 [1 per cell]
O: 0.284 0.317 0.859 [1 per cell]
O: 0.285 0.316 0.141 [1 per cell]
O: 0.288 0.307 0.349 [1 per cell]
O: 0.433 0.049 0.000 [1 per cell]
O: 0.440 0.057 0.498 [1 per cell]
O: 0.584 0.009 0.248 [1 per cell]
O: 0.584 0.011 0.754 [1 per cell]
O: 0.702 0.734 0.899 [1 per cell]
O: 0.703 0.734 0.102 [1 per cell]
O: 0.706 0.738 0.392 [1 per cell]
O: 0.715 0.739 0.609 [1 per cell]
O: 0.784 0.245 0.893 [1 per cell]
O: 0.785 0.244 0.107 [1 per cell]
O: 0.802 0.228 0.385 [1 per cell]
O: 0.802 0.239 0.615 [1 per cell]
O: 0.933 0.516 0.247 [1 per cell]
O: 0.933 0.518 0.752 [1 per cell]

- Calculated density: 4.91 g cm⁻³
- M_tot: 0.063 μB per atom
- E_form (uncorrected): -2845 meV per atom

YScTc2: relaxed, PBE.

a = 3.264 Å, b = 4.212 Å, c = 6.131 Å
α = 90.00°, β = 104.61°, γ = 90.00°
Space group Pm (No. 6)
Asymmetric unit:
Y: 0.000 0.000 0.000 [1 per cell]
Sc: 0.718 0.500 0.344 [1 per cell]
Tc: 0.316 0.500 0.737 [1 per cell]
Tc: 0.423 0.000 0.557 [1 per cell]

- Energy above the lowest structure with this stoichiometry: 111.3 meV/atom
- Calculated density: 6.72 g cm⁻³
- M_tot: 0.000 μB per atom
- E_form: 60 meV/atom

Ti2NbMo3: relaxed, PBE.

a = 4.526 Å, b = 13.471 Å, c = 6.385 Å
α = 90.00°, β = 90.00°, γ = 90.00°
Space group Cmmm (No. 65)
Asymmetric unit:
Ti: 0.000 0.000 0.000 [2 per cell]
Ti: 0.000 0.000 0.500 [2 per cell]
Ti: 0.000 0.333 0.000 [4 per cell]
Nb: 0.000 0.335 0.500 [4 per cell]
Mo: 0.000 0.166 0.249 [8 per cell]
Mo: 0.000 0.500 0.248 [4 per cell]

- Energy above the lowest structure with this stoichiometry: 0.0 meV/atom
- Calculated density: 8.13 g cm⁻³
- M_tot: 0.000 μB per atom
- E_form: -84 meV/atom

CoSi2Se: relaxed, PBE.

a = 5.276 Å, b = 7.126 Å, c = 3.063 Å
α = 90.00°, β = 90.00°, γ = 90.00°
Space group Cmmm (No. 65)
Asymmetric unit:
Co: 0.000 0.000 0.000 [2 per cell]
Si: 0.250 0.250 0.500 [4 per cell]
Se: 0.000 0.500 0.000 [2 per cell]

- Calculated density: 5.60 g cm⁻³
- M_tot: 0.145 μB per atom
- E_form (uncorrected): 440 meV per atom

Ca2HoScSe4: relaxed, PBE.

a = 7.008 Å, b = 4.054 Å, c = 7.147 Å
α = 90.00°, β = 109.16°, γ = 90.00°
Space group P2/m (No. 10)
Asymmetric unit:
Ca: 0.000 0.000 0.000 [1 per cell]
Ca: 0.500 0.500 0.000 [1 per cell]
Ho: 0.000 0.500 0.500 [1 per cell]
Sc: 0.500 0.000 0.500 [1 per cell]
Se: 0.253 0.000 0.740 [2 per cell]
Se: 0.260 0.500 0.264 [2 per cell]

- Calculated density: 5.25 g cm⁻³
- M_tot: 0.000 μB per atom
- E_form (uncorrected): -1818 meV per atom

KAlTe2O8: relaxed, PBE.

a = 5.1916 Å, b = 5.1916 Å, c = 8.6599 Å
α = 90.00°, β = 90.00°, γ = 120.00°
Space group P-3 (No. 147)
Asymmetric unit:
K: 0.0000 0.0000 0.0000 [1 per cell]
Al: 0.0000 0.0000 0.5000 [1 per cell]
Te: 0.3333 0.6667 0.6954 [2 per cell]
O: 0.0189 0.3043 0.6316 [6 per cell]
O: 0.3333 0.6667 0.9055 [2 per cell]

- Calculated density: 3.69 g cm⁻³
- M_tot: 0.000 μB per atom
- E_form (uncorrected): -1397 meV per atom